No. 1
PBE-GGA Ti3VGe, relaxed; E_form = 3.3 eV/f.u.; energy relative to the lowest polymorph listed for this composition = 0.833 eV/atom
1.0
4.6950 0.0000 0.0000
0.0000 4.6950 0.0000
0.0000 0.0000 4.6950
Ti V Ge
3 1 1
Direct
0.0000 0.0000 0.5000
0.0000 0.5000 0.0000
0.5000 0.0000 0.0000
0.5000 0.5000 0.5000
0.0000 0.0000 0.0000

No. 2
PBE-GGA TiVGe, relaxed; E_form = -0.4 eV/f.u.
1.0
4.3499 0.0000 0.0000
-2.1750 3.7671 0.0000
0.0000 0.0000 2.7607
Ti V Ge
1 1 1
Direct
0.0000 0.0000 0.0000
0.6667 0.3333 0.3559
0.3333 0.6667 0.6101

No. 3
PBE-GGA Ti8V2Ge3, relaxed; E_form = 1.1 eV/f.u.
1.0
2.6364 1.5221 9.0399
-2.6364 1.5221 9.0399
0.0000 -3.0443 9.0399
Ti V Ge
8 2 3
Direct
0.2156 0.2156 0.2156
0.2178 0.2178 0.7303
0.2178 0.7303 0.2178
0.2697 0.7822 0.7822
0.7303 0.2178 0.2178
0.7822 0.2697 0.7822
0.7822 0.7822 0.2697
0.7844 0.7844 0.7844
0.1373 0.1373 0.1373
0.8627 0.8627 0.8627
0.3081 0.3081 0.3081
0.5000 0.5000 0.5000
0.6919 0.6919 0.6919

No. 4
PBE-GGA Ti3VGe, relaxed; E_form = 3.0 eV/f.u.; energy relative to the lowest polymorph listed for this composition = 0.787 eV/atom
1.0
4.5176 0.0000 0.0000
0.0000 4.5176 0.0000
0.0000 0.0000 4.5176
Ti V Ge
3 1 1
Direct
0.0000 0.0000 0.5000
0.0000 0.5000 0.0000
0.5000 0.0000 0.0000
0.0000 0.0000 0.0000
0.5000 0.5000 0.5000

No. 5
PBE-GGA TiV3Ge, relaxed; E_form = 5.7 eV/f.u.; energy relative to the lowest polymorph listed for this composition = 1.276 eV/atom
1.0
4.3815 0.0000 0.0000
0.0000 4.3815 0.0000
0.0000 0.0000 4.3815
Ti V Ge
1 3 1
Direct
0.0000 0.0000 0.0000
0.0000 0.0000 0.5000
0.0000 0.5000 0.0000
0.5000 0.0000 0.0000
0.5000 0.5000 0.5000

No. 6
PBE-GGA TiV2Ge, relaxed; E_form = -0.9 eV/f.u.
1.0
3.2253 0.0000 0.0000
0.0000 3.2253 0.0000
0.0000 0.0000 5.5798
Ti V Ge
1 2 1
Direct
0.0000 0.0000 0.0000
0.5000 0.5000 0.2708
0.5000 0.5000 0.7292
0.0000 0.0000 0.5000

Results for DOS at the Fermi energy: 6.80 3.85 21.25 6.65 5.08 3.72 (in states/eV per cell, following the order of the records).